Density functional theory data (PBE-GGA) for HgWBr after structural relaxation.

Lattice parameters (Å, degrees): 4.7393 4.7393 3.0204 90.00 90.00 120.00
Atoms (fractional coordinates):
Hg: 0.0000 0.0000 0.0000
W: 0.6667 0.3333 0.5000
Br: 0.3333 0.6667 0.5000

Properties
offset from the most stable computed form = 49.5 kJ/mol of atoms

Density functional theory data (PBE-GGA) for HgWBr2 after structural relaxation.

Lattice parameters (Å, degrees): 3.1324 3.2003 10.8025 90.00 90.35 90.00
Atoms (fractional coordinates):
Hg: 0.0000 0.0000 0.0000
W: 0.5000 0.0000 0.5000
Br: 0.4959 0.5000 0.3166
Br: 0.5041 0.5000 0.6834

Properties
offset from the most stable computed form = 5.5 kJ/mol of atoms

Density functional theory data (PBE-GGA) for Hg4WBr after structural relaxation.

Lattice parameters (Å, degrees): 6.0097 6.0097 6.0097 60.00 60.00 60.00
Atoms (fractional coordinates):
Hg: 0.1249 0.1249 0.1249
Hg: 0.1249 0.1249 0.6253
Hg: 0.1249 0.6253 0.1249
Hg: 0.6253 0.1249 0.1249
W: 0.7500 0.7500 0.7500
Br: 0.5000 0.5000 0.5000

The records above give, respectively, DOS at the Fermi energy values of 2.597 2.318 4.034 states/eV per cell.
The records above give, respectively, mass density values of 13.1 8.3 11.5 g cm⁻³.
The records above give, respectively, uncorrected formation energy values of 1.106 0.263 0.968 eV per atom.